First-principles (GGA-PBE) data for a relaxed structure of CoOsSe, as listed in Alexandria via LeMat-Bulk.

## Properties
Spin magnetization, μB/f.u.: 2.04
Excess energy over the best structure of this formula in the dataset, eV/atom: 0.158
Density of states at the Fermi level, states/eV/cell: 2.83
Space-group type: Imm2 (44)
Crystal system: orthorhombic
E_tot, eV for the cell shown: -19.88
Mass density, g cm⁻³: 12.83

Lattice parameters (Å, degrees): 4.5159 4.5159 4.5159 141.71 131.08 63.77
Sites, in units of the cell vectors:
Co1 0.0000 0.0000 0.0000
Os1 0.3483 0.3483 0.0000
Se1 0.6849 0.6849 0.0000

=====

First-principles (GGA-PBE) data for a relaxed structure of Co2OsSe, as listed in Alexandria via LeMat-Bulk.

## Properties
Spin magnetization, μB/f.u.: 3.43
Density of states at the Fermi level, states/eV/cell: 5.46
Space-group type: Pmmm (47)
Crystal system: orthorhombic
E_tot, eV for the cell shown: -26.73
Mass density, g cm⁻³: 12.06

Lattice parameters (Å, degrees): 2.9425 4.1842 4.3288 90.00 90.00 90.00
Sites, in units of the cell vectors:
Co1 0.0000 0.0000 0.0000
Co2 0.5000 0.0000 0.5000
Os1 0.0000 0.5000 0.5000
Se1 0.5000 0.5000 0.0000

=====

First-principles (GGA-PBE) data for a relaxed structure of CoOsSe, as listed in Alexandria via LeMat-Bulk.

## Properties
Spin magnetization, μB/f.u.: 1.71
Excess energy over the best structure of this formula in the dataset, eV/atom: 0.238
Density of states at the Fermi level, states/eV/cell: 3.98
Space-group type: Fmm2 (42)
Crystal system: orthorhombic
E_tot, eV for the cell shown: -19.65
Mass density, g cm⁻³: 11.47

Lattice parameters (Å, degrees): 7.7505 7.5010 2.7346 84.86 74.56 20.57
Sites, in units of the cell vectors:
Co1 0.0000 0.0000 0.0000
Os1 0.3617 0.3617 0.6383
Se1 0.6429 0.6429 0.3571

=====

First-principles (GGA-PBE) data for a relaxed structure of Co2OsSe, as listed in Alexandria via LeMat-Bulk.

## Properties
Spin magnetization, μB/f.u.: 0.08
Density of states at the Fermi level, states/eV/cell: 3.99
Space-group type: Cm (8)
Crystal system: monoclinic
E_tot, eV for the cell shown: -27.28
Mass density, g cm⁻³: 12.31

Lattice parameters (Å, degrees): 4.3367 4.3367 4.6978 101.14 101.14 37.14
Sites, in units of the cell vectors:
Co1 0.0000 0.0000 0.0000
Co2 0.2442 0.2442 0.7582
Os1 0.4950 0.4950 0.5388
Se1 0.7498 0.7498 0.1904

=====

First-principles (GGA-PBE) data for a relaxed structure of Co2OsSe, as listed in Alexandria via LeMat-Bulk.

## Properties
Spin magnetization, μB/f.u.: 3.53
Density of states at the Fermi level, states/eV/cell: 5.84
Space-group type: Cmm2 (35)
Crystal system: orthorhombic
E_tot, eV for the cell shown: -26.34
Mass density, g cm⁻³: 10.82

Lattice parameters (Å, degrees): 2.6463 2.6463 9.5216 90.00 90.00 117.03
Sites, in units of the cell vectors:
Co1 0.0000 0.0000 0.0000
Co2 0.5000 0.5000 0.2063
Os1 0.0000 0.0000 0.4280
Se1 0.5000 0.5000 0.7819

=====

First-principles (GGA-PBE) data for a relaxed structure of CoOsSe, as listed in Alexandria via LeMat-Bulk.

## Properties
Spin magnetization, μB/f.u.: 1.99
Excess energy over the best structure of this formula in the dataset, eV/atom: 0.047
Density of states at the Fermi level, states/eV/cell: 2.67
Space-group type: I4mm (107)
Crystal system: tetragonal
E_tot, eV for the cell shown: -20.22
Mass density, g cm⁻³: 12.70

Lattice parameters (Å, degrees): 5.3743 5.3743 5.3743 148.23 148.23 45.55
Sites, in units of the cell vectors:
Co1 0.0000 0.0000 0.0000
Os1 0.6609 0.6609 0.0000
Se1 0.3227 0.3227 0.0000

=====

First-principles (GGA-PBE) data for a relaxed structure of Co2OsSe, as listed in Alexandria via LeMat-Bulk.

## Properties
Spin magnetization, μB/f.u.: 1.81
Density of states at the Fermi level, states/eV/cell: 5.27
Space-group type: I4/mmm (139)
Crystal system: tetragonal
E_tot, eV for the cell shown: -26.51
Mass density, g cm⁻³: 12.34

Lattice parameters (Å, degrees): 4.5170 4.5170 4.5170 130.48 130.48 72.64
Sites, in units of the cell vectors:
Co1 0.2500 0.7500 0.5000
Co2 0.7500 0.2500 0.5000
Os1 0.0000 0.0000 0.0000
Se1 0.5000 0.5000 0.0000

=====

First-principles (GGA-PBE) data for a relaxed structure of Co2OsSe, as listed in Alexandria via LeMat-Bulk.

## Properties
Spin magnetization, μB/f.u.: 0.46
Density of states at the Fermi level, states/eV/cell: 5.16
Space-group type: Cmmm (65)
Crystal system: orthorhombic
E_tot, eV for the cell shown: -27.14
Mass density, g cm⁻³: 12.44

Lattice parameters (Å, degrees): 4.4744 4.4744 2.7501 90.00 90.00 110.20
Sites, in units of the cell vectors:
Co1 0.0000 0.5000 0.0000
Co2 0.5000 0.0000 0.0000
Os1 0.0000 0.0000 0.5000
Se1 0.5000 0.5000 0.5000

=====

> What is the spin magnetization in the seventh record?

1.81 μB/f.u.

=====

Please write out number 1 again, unchanged.
First-principles (GGA-PBE) data for a relaxed structure of CoOsSe, as listed in Alexandria via LeMat-Bulk.

## Properties
Spin magnetization, μB/f.u.: 2.04
Excess energy over the best structure of this formula in the dataset, eV/atom: 0.158
Density of states at the Fermi level, states/eV/cell: 2.83
Space-group type: Imm2 (44)
Crystal system: orthorhombic
E_tot, eV for the cell shown: -19.88
Mass density, g cm⁻³: 12.83

Lattice parameters (Å, degrees): 4.5159 4.5159 4.5159 141.71 131.08 63.77
Sites, in units of the cell vectors:
Co1 0.0000 0.0000 0.0000
Os1 0.3483 0.3483 0.0000
Se1 0.6849 0.6849 0.0000

=====

What did the fifth record say?
First-principles (GGA-PBE) data for a relaxed structure of Co2OsSe, as listed in Alexandria via LeMat-Bulk.

## Properties
Spin magnetization, μB/f.u.: 3.53
Density of states at the Fermi level, states/eV/cell: 5.84
Space-group type: Cmm2 (35)
Crystal system: orthorhombic
E_tot, eV for the cell shown: -26.34
Mass density, g cm⁻³: 10.82

Lattice parameters (Å, degrees): 2.6463 2.6463 9.5216 90.00 90.00 117.03
Sites, in units of the cell vectors:
Co1 0.0000 0.0000 0.0000
Co2 0.5000 0.5000 0.2063
Os1 0.0000 0.0000 0.4280
Se1 0.5000 0.5000 0.7819